Na2TmMnO4 | PBE+U | relaxed

a = 6.3965 Å, b = 6.3965 Å, c = 6.6200 Å
α = 118.83°, β = 118.83°, γ = 89.45°
With the nearest neighbours (Å) after each atom.
Fractional coordinates of all 16 atoms:
Na 0.0000 0.0000 0.0000  6 O 2.39-2.56
Na 0.0000 0.0000 0.5000  6 O 2.39-2.56
Na 0.0000 0.5000 0.0000  4 O 2.32-2.34
Na 0.5000 0.0000 0.5000  4 O 2.32-2.34
Tm 0.0000 0.5000 0.5000  6 O 2.22-2.27
Tm 0.5000 0.0000 0.0000  6 O 2.22-2.27
Mn 0.5000 0.5000 0.0000  4 O 1.99-2.03
Mn 0.5000 0.5000 0.5000  4 O 1.99-2.03
O 0.2638 0.7136 0.9649  1 Mn 2.03, 2 Tm 2.24-2.27
O 0.2695 0.2816 0.4879  1 Mn 1.99, 1 Tm 2.22
O 0.2816 0.2695 0.9879  1 Mn 1.99, 1 Tm 2.22
O 0.2864 0.7362 0.5351  1 Mn 2.03, 2 Tm 2.24-2.27
O 0.7136 0.2638 0.4649  1 Mn 2.03, 2 Tm 2.24-2.27
O 0.7184 0.7306 0.0121  1 Mn 1.99, 1 Tm 2.22
O 0.7306 0.7184 0.5121  1 Mn 1.99, 1 Tm 2.22
O 0.7362 0.2864 0.0351  1 Mn 2.03, 2 Tm 2.24-2.27

Values from the calculation:
Total energy: -6.53 eV per atom
Crystal system: monoclinic
Spin magnetization: 4.000 μB/f.u.